P) # Te2WAu, relaxed, DFT GGA-PBEsol
data_Te2WAu
_chemical_formula_sum 'Te4 W2 Au2'
_symmetry_space_group_name_H-M 'I -4 m 2'
_symmetry_Int_Tables_number 119
_symmetry_space_group_name_Hall 'I -4 -2'
_cell_length_a 4.113
_cell_length_b 4.113
_cell_length_c 9.572
_cell_angle_alpha 90.00
_cell_angle_beta 90.00
_cell_angle_gamma 90.00
loop_
_atom_site_label
_atom_site_type_symbol
_atom_site_fract_x
_atom_site_fract_y
_atom_site_fract_z
Te1 Te 0.000 0.000 0.000
Te2 Te 0.000 0.500 0.250
W1 W 0.000 0.000 0.500
Au1 Au 0.000 0.500 0.750
# Spin magnetization   0.02 μB/f.u.
# Crystal system   tetragonal
# DOS at the Fermi energy   0.952 states/eV per atom


Q) # Te2WAu, relaxed, DFT GGA-PBEsol
data_Te2WAu
_chemical_formula_sum 'Te6 W3 Au3'
_symmetry_space_group_name_H-M 'R 3 m'
_symmetry_Int_Tables_number 160
_symmetry_space_group_name_Hall 'R 3 -2"'
_cell_length_a 3.2598
_cell_length_b 3.2598
_cell_length_c 29.6735
_cell_angle_alpha 90.00
_cell_angle_beta 90.00
_cell_angle_gamma 120.00
loop_
_atom_site_label
_atom_site_type_symbol
_atom_site_fract_x
_atom_site_fract_y
_atom_site_fract_z
Te1 Te 0.0000 0.0000 0.0000
Te2 Te 0.0000 0.0000 0.2100
W1 W 0.0000 0.0000 0.7315
Au1 Au 0.0000 0.0000 0.4677
# Spin magnetization   0.00 μB/f.u.
# Crystal system   trigonal
# DOS at the Fermi energy   0.460 states/eV per atom


Winner for stability: Q)


P) # TlAu5, relaxed, DFT GGA-PBEsol
data_TlAu5
_chemical_formula_sum 'Tl4 Au20'
_symmetry_space_group_name_H-M 'F -4 3 m'
_symmetry_Int_Tables_number 216
_symmetry_space_group_name_Hall 'F -4 2 3'
_cell_length_a 7.737
_cell_length_b 7.737
_cell_length_c 7.737
_cell_angle_alpha 90.00
_cell_angle_beta 90.00
_cell_angle_gamma 90.00
loop_
_atom_site_label
_atom_site_type_symbol
_atom_site_fract_x
_atom_site_fract_y
_atom_site_fract_z
Tl1 Tl 0.000 0.000 0.000
Au1 Au 0.125 0.125 0.625
Au2 Au 0.250 0.250 0.250
# Spin magnetization   0.00 μB/f.u.
# Crystal system   cubic
# DOS at the Fermi energy   0.235 states/eV per atom


Q) # TlAu5, relaxed, DFT GGA-PBEsol
data_TlAu5
_chemical_formula_sum 'Tl2 Au10'
_symmetry_space_group_name_H-M 'C m m m'
_symmetry_Int_Tables_number 65
_symmetry_space_group_name_Hall '-C 2 2'
_cell_length_a 4.143
_cell_length_b 12.479
_cell_length_c 4.175
_cell_angle_alpha 90.00
_cell_angle_beta 90.00
_cell_angle_gamma 90.00
loop_
_atom_site_label
_atom_site_type_symbol
_atom_site_fract_x
_atom_site_fract_y
_atom_site_fract_z
Tl1 Tl 0.000 0.000 0.000
Au1 Au 0.000 0.172 0.500
Au2 Au 0.000 0.332 0.000
Au3 Au 0.000 0.500 0.500
# Spin magnetization   0.00 μB/f.u.
# Crystal system   orthorhombic
# DOS at the Fermi energy   0.298 states/eV per atom


Winner for stability: Q)


P) # Tl5Au, relaxed, DFT GGA-PBEsol
data_Tl5Au
_chemical_formula_sum 'Tl10 Au2'
_symmetry_space_group_name_H-M 'C m m m'
_symmetry_Int_Tables_number 65
_symmetry_space_group_name_Hall '-C 2 2'
_cell_length_a 5.325
_cell_length_b 16.942
_cell_length_c 3.510
_cell_angle_alpha 90.00
_cell_angle_beta 90.00
_cell_angle_gamma 90.00
loop_
_atom_site_label
_atom_site_type_symbol
_atom_site_fract_x
_atom_site_fract_y
_atom_site_fract_z
Tl1 Tl 0.000 0.000 0.000
Tl2 Tl 0.000 0.186 0.500
Tl3 Tl 0.000 0.363 0.000
Au1 Au 0.000 0.500 0.500
# Spin magnetization   0.00 μB/f.u.
# Crystal system   orthorhombic
# DOS at the Fermi energy   0.453 states/eV per atom


Q) # Tl5Au, relaxed, DFT GGA-PBEsol
data_Tl5Au
_chemical_formula_sum 'Tl5 Au1'
_symmetry_space_group_name_H-M 'P -6 2 m'
_symmetry_Int_Tables_number 189
_symmetry_space_group_name_Hall 'P -6 -2'
_cell_length_a 6.1385
_cell_length_b 6.1385
_cell_length_c 4.8613
_cell_angle_alpha 90.00
_cell_angle_beta 90.00
_cell_angle_gamma 120.00
loop_
_atom_site_label
_atom_site_type_symbol
_atom_site_fract_x
_atom_site_fract_y
_atom_site_fract_z
Tl1 Tl 0.0000 0.6946 0.0000
Tl2 Tl 0.3333 0.6667 0.5000
Au1 Au 0.0000 0.0000 0.5000
# Spin magnetization   0.00 μB/f.u.
# Crystal system   hexagonal
# DOS at the Fermi energy   0.507 states/eV per atom


Winner for stability: P)